No. 1
A relaxed structure of PmNbTc4, computed with PBE.

Cell and atoms, written as POSCAR:
```
PmNbTc4
1.0
0.000 3.763 3.763
3.763 0.000 3.763
3.763 3.763 0.000
Pm Nb Tc
1 1 4
Cartesian
0.000 0.000 0.000
5.644 5.644 5.644
2.827 2.827 2.827
4.699 4.699 2.827
4.699 2.827 4.699
2.827 4.699 4.699
```

## Properties
Formation energy from the elements: 68 meV per atom
Total energy: -9.313 eV/atom



No. 2
A relaxed structure of Ti5Ni2H12, computed with PBE.

Cell and atoms, written as POSCAR:
```
Ti5Ni2H12
1.0
4.676 -2.587 0.000
4.676 2.587 0.000
-1.419 0.000 5.831
Ti Ni H
5 2 12
Cartesian
0.000 0.000 0.000
1.683 0.000 3.856
2.760 0.000 0.822
5.174 0.000 5.008
6.251 0.000 1.974
3.967 1.339 2.915
3.967 -1.339 2.915
-0.491 0.000 3.998
1.895 1.267 5.306
2.396 0.994 2.402
6.038 1.267 0.525
3.573 0.000 3.999
5.538 0.994 3.428
2.396 -0.994 2.402
4.360 0.000 1.832
1.895 -1.267 5.306
5.538 -0.994 3.428
6.038 -1.267 0.525
8.424 0.000 1.832
```

## Properties
Total energy: -5.105 eV/atom



No. 3
A relaxed structure of OsAuSeN2, computed with PBE.

Cell and atoms, written as POSCAR:
```
OsAuSeN2
1.0
3.779 0.000 0.000
0.000 3.779 0.000
0.000 0.000 5.650
Os Au Se N
1 1 1 2
Cartesian
0.000 0.000 0.000
1.890 1.890 2.825
0.000 0.000 2.825
0.000 1.890 0.000
1.890 0.000 0.000
```

## Properties
Energy relative to the elements, uncorrected: 0.6386 eV/atom
Total energy: -6.290 eV/atom
Energy above the most stable polymorph in this dataset: 0.000 eV per atom



No. 4
A relaxed structure of SrY3Ir, computed with PBE.

Cell and atoms, written as POSCAR:
```
SrY3Ir
1.0
9.428 0.000 0.000
0.000 6.930 0.000
-6.796 0.000 9.990
Sr Y Ir
4 12 4
Cartesian
1.217 1.197 0.734
-2.181 2.268 5.729
4.813 4.662 4.261
1.415 5.733 9.256
-4.890 4.001 8.264
-1.492 6.395 3.269
1.552 4.638 2.027
-1.847 5.757 7.022
-2.114 1.665 9.428
1.284 1.801 4.433
1.348 5.130 5.557
4.746 5.266 0.562
4.478 1.173 2.968
1.080 2.292 7.963
4.124 0.535 6.720
7.522 2.930 1.726
-0.412 3.931 3.843
-3.810 6.464 8.838
6.442 0.466 1.152
3.044 2.999 6.147
```

## Properties
Formation energy from the elements: -275 meV per atom
Total energy: -6.262 eV/atom
Energy above the most stable polymorph in this dataset: 0.095 eV per atom



No. 5
A relaxed structure of TiCd4Pd5, computed with PBE.

Cell and atoms, written as POSCAR:
```
TiCd4Pd5
1.0
3.066 0.000 0.000
0.000 3.066 0.000
0.000 0.000 18.319
Ti Cd Pd
1 4 5
Cartesian
0.000 0.000 0.000
0.000 0.000 3.559
0.000 0.000 7.300
0.000 0.000 11.019
0.000 0.000 14.760
1.533 1.533 1.605
1.533 1.533 5.437
1.533 1.533 9.160
1.533 1.533 12.882
1.533 1.533 16.714
```

## Properties
Formation energy from the elements: -440 meV per atom
Total energy: -4.192 eV/atom



No. 6
A relaxed structure of LaSc2Pd9, computed with PBE.

Cell and atoms, written as POSCAR:
```
LaSc2Pd9
1.0
4.112 0.000 0.000
0.000 4.112 0.000
0.000 0.000 12.089
La Sc Pd
1 2 9
Cartesian
0.000 0.000 0.000
0.000 0.000 4.128
0.000 0.000 7.960
0.000 2.056 2.180
0.000 2.056 6.044
0.000 2.056 9.908
2.056 0.000 2.180
2.056 0.000 6.044
2.056 0.000 9.908
2.056 2.056 0.000
2.056 2.056 4.099
2.056 2.056 7.990
```

## Properties
Formation energy from the elements: -814 meV per atom
Total energy: -6.174 eV/atom



No. 7
A relaxed structure of LiPm2Cu, computed with PBE.

Cell and atoms, written as POSCAR:
```
LiPm2Cu
1.0
0.000 3.649 3.649
3.649 0.000 3.649
3.649 3.649 0.000
Li Pm Cu
1 2 1
Cartesian
0.000 0.000 0.000
1.825 1.825 1.825
5.474 5.474 5.474
3.649 3.649 3.649
```

## Properties
Formation energy from the elements: 12 meV per atom
Total energy: -3.866 eV/atom
Energy above the most stable polymorph in this dataset: 0.040 eV per atom



No. 8
A relaxed structure of LiYSe, computed with PBE.

Cell and atoms, written as POSCAR:
```
LiYSe
1.0
0.000 3.373 3.373
3.373 0.000 3.373
3.373 3.373 0.000
Li Y Se
1 1 1
Cartesian
0.000 0.000 0.000
1.687 1.687 1.687
3.373 3.373 3.373
```

## Properties
Energy relative to the elements, uncorrected: -0.4638 eV/atom
Total energy: -4.418 eV/atom
Energy above the most stable polymorph in this dataset: 0.628 eV per atom



No. 9
A relaxed structure of Tm3Mg2Pt3, computed with PBE.

Cell and atoms, written as POSCAR:
```
Tm3Mg2Pt3
1.0
-1.690 2.444 10.238
1.690 -2.444 10.238
1.690 2.444 -10.238
Tm Mg Pt
3 2 3
Cartesian
0.000 0.000 0.000
1.690 0.000 7.815
0.000 2.444 2.423
0.000 0.000 4.670
0.000 0.000 15.806
1.690 0.000 2.431
0.000 0.000 10.238
0.000 2.444 7.806
```

## Properties
Formation energy from the elements: -941 meV per atom
Total energy: -5.282 eV/atom
Energy above the most stable polymorph in this dataset: 0.117 eV per atom



No. 10
A relaxed structure of La2CrAs, computed with PBE.

Cell and atoms, written as POSCAR:
```
La2CrAs
1.0
0.000 3.625 3.625
3.625 0.000 3.625
3.625 3.625 0.000
La Cr As
2 1 1
Cartesian
0.000 0.000 0.000
1.813 1.813 1.813
5.438 5.438 5.438
3.625 3.625 3.625
```

## Properties
Formation energy from the elements: 58 meV per atom
Total energy: -5.974 eV/atom



No. 11
A relaxed structure of Y2MoBr, computed with PBE.

Cell and atoms, written as POSCAR:
```
Y2MoBr
1.0
-1.718 2.417 5.845
1.718 -2.417 5.845
1.718 2.417 -5.845
Y Mo Br
2 1 1
Cartesian
0.000 0.000 0.000
0.000 2.417 2.604
0.000 0.000 5.834
1.718 0.000 3.716
```

## Properties
Energy relative to the elements, uncorrected: 0.0492 eV/atom
Total energy: -6.309 eV/atom
Energy above the most stable polymorph in this dataset: 0.384 eV per atom



No. 12
A relaxed structure of TlGaAg2, computed with PBE.

Cell and atoms, written as POSCAR:
```
TlGaAg2
1.0
4.413 0.000 0.000
0.000 4.413 0.000
0.000 0.000 4.222
Tl Ga Ag
1 1 2
Cartesian
0.000 0.000 0.000
2.207 2.207 0.000
0.000 2.207 2.111
2.207 0.000 2.111
```

## Properties
Formation energy from the elements: 140 meV per atom
Total energy: -2.634 eV/atom
Energy above the most stable polymorph in this dataset: 0.047 eV per atom



No. 13
A relaxed structure of Sm2ZnAs4, computed with PBE.

Cell and atoms, written as POSCAR:
```
Sm2ZnAs4
1.0
3.946 0.000 0.000
0.000 3.946 0.000
0.000 0.000 10.174
Sm Zn As
2 1 4
Cartesian
0.000 1.973 2.411
1.973 0.000 7.763
0.000 0.000 5.087
0.000 0.000 0.000
0.000 1.973 6.657
1.973 0.000 3.517
1.973 1.973 0.000
```

## Properties
Formation energy from the elements: -887 meV per atom
Total energy: -5.074 eV/atom



No. 14
A relaxed structure of Cr2SbRh, computed with PBE.

Cell and atoms, written as POSCAR:
```
Cr2SbRh
1.0
2.752 -3.734 0.000
2.752 3.734 0.000
0.000 0.000 3.021
Cr Sb Rh
2 1 1
Cartesian
1.376 1.867 0.000
1.376 -1.867 0.000
0.000 0.000 1.511
2.752 0.000 1.511
```

## Properties
Energy relative to the elements, uncorrected: 0.1989 eV/atom
Total energy: -7.481 eV/atom



No. 15
A relaxed structure of CaInFe2, computed with PBE.

Cell and atoms, written as POSCAR:
```
CaInFe2
1.0
-1.646 2.403 4.769
1.646 -2.403 4.769
1.646 2.403 -4.769
Ca In Fe
1 1 2
Cartesian
0.000 0.000 0.000
0.000 2.403 2.024
1.646 0.000 2.677
0.000 0.000 4.324
```

## Properties
Formation energy from the elements: 261 meV per atom
Total energy: -5.156 eV/atom



No. 16
A relaxed structure of Sm3Pa, computed with PBE.

Cell and atoms, written as POSCAR:
```
Sm3Pa
1.0
3.447 0.000 0.000
0.000 5.802 0.000
0.000 0.000 6.214
Sm Pa
3 1
Cartesian
0.000 0.000 0.000
0.000 2.901 1.939
1.724 2.901 4.923
1.724 0.000 3.036
```

## Properties
Formation energy from the elements: 237 meV per atom
Total energy: -5.677 eV/atom
Energy above the most stable polymorph in this dataset: 0.008 eV per atom



No. 17
A relaxed structure of BaBe2Ru, computed with PBE.

Cell and atoms, written as POSCAR:
```
BaBe2Ru
1.0
3.260 0.000 0.000
0.000 3.260 0.000
0.000 0.000 6.986
Ba Be Ru
1 2 1
Cartesian
0.000 0.000 0.000
0.000 0.000 3.897
1.630 1.630 2.458
1.630 1.630 4.489
```

## Properties
Formation energy from the elements: 386 meV per atom
Total energy: -4.276 eV/atom
Energy above the most stable polymorph in this dataset: 0.348 eV per atom



No. 18
A relaxed structure of MgNb2AuN, computed with PBE.

Cell and atoms, written as POSCAR:
```
MgNb2AuN
1.0
4.223 0.000 0.000
0.000 4.223 0.000
0.000 0.000 4.377
Mg Nb Au N
1 2 1 1
Cartesian
0.000 0.000 0.000
0.000 2.111 2.188
2.111 0.000 2.188
2.111 2.111 0.000
0.000 0.000 2.188
```

## Properties
Energy relative to the elements, uncorrected: -0.4688 eV/atom
Total energy: -7.136 eV/atom



No. 19
A relaxed structure of ZrTlPt2, computed with PBE.

Cell and atoms, written as POSCAR:
```
ZrTlPt2
1.0
-2.078 2.127 4.231
2.078 -2.127 4.231
2.078 2.127 -4.231
Zr Tl Pt
1 1 2
Cartesian
0.000 0.000 0.000
0.000 2.127 2.102
2.078 0.000 2.101
0.000 0.000 4.223
```

## Properties
Formation energy from the elements: -478 meV per atom
Total energy: -6.227 eV/atom



No. 20
A relaxed structure of PrSmYHo2, computed with PBE.

Cell and atoms, written as POSCAR:
```
PrSmYHo2
1.0
4.206 -5.799 0.000
4.206 5.799 0.000
0.000 0.000 7.208
Pr Sm Y Ho
2 2 2 4
Cartesian
4.206 3.211 5.406
4.206 -3.211 1.802
4.206 0.122 5.406
4.206 -0.122 1.802
4.206 3.156 1.802
4.206 -3.156 5.406
1.581 0.000 0.000
1.581 0.000 3.604
6.831 0.000 0.000
6.831 0.000 3.604
```

## Properties
Formation energy from the elements: 373 meV per atom
Total energy: -4.651 eV/atom



No. 21
A relaxed structure of YZnPb3, computed with PBE.

Cell and atoms, written as POSCAR:
```
YZnPb3
1.0
5.937 0.000 0.000
0.000 5.937 0.000
0.000 0.000 5.937
Y Zn Pb
1 1 3
Cartesian
0.000 0.000 0.000
2.969 2.969 2.969
0.000 0.000 2.969
0.000 2.969 0.000
2.969 0.000 0.000
```

## Properties
Formation energy from the elements: 555 meV per atom
Total energy: -3.217 eV/atom
Energy above the most stable polymorph in this dataset: 0.359 eV per atom



No. 22
A relaxed structure of YSc8, computed with PBE.

Cell and atoms, written as POSCAR:
```
YSc8
1.0
-4.945 4.945 2.327
4.945 -4.945 2.327
4.945 4.945 -2.327
Y Sc
1 8
Cartesian
0.000 0.000 0.000
3.326 0.000 0.000
6.564 0.000 0.000
3.263 3.263 0.000
1.682 -1.682 2.327
0.000 3.326 0.000
0.000 6.564 0.000
-1.682 1.682 2.327
1.682 1.682 2.327
```

## Properties
Formation energy from the elements: 55 meV per atom
Total energy: -6.292 eV/atom



No. 23
A relaxed structure of Na3Tm3HfSe8, computed with PBE.

Cell and atoms, written as POSCAR:
```
Na3Tm3HfSe8
1.0
4.031 2.328 7.095
-4.031 2.328 7.095
0.000 -4.655 7.095
Na Tm Hf Se
3 3 1 8
Cartesian
-2.016 -1.164 7.095
-2.016 1.164 14.190
0.000 2.328 7.095
-4.031 0.000 10.643
-2.016 1.164 3.548
2.016 1.164 3.548
0.000 0.000 10.643
0.000 0.000 5.157
-1.934 -1.117 12.194
0.000 -2.234 9.092
-1.934 1.117 9.092
1.934 -1.117 12.194
0.000 2.234 12.194
1.934 1.117 9.092
0.000 0.000 16.128
```

## Properties
Energy relative to the elements, uncorrected: -1.6252 eV/atom
Total energy: -5.305 eV/atom



No. 24
A relaxed structure of CsInSb3, computed with PBE.

Cell and atoms, written as POSCAR:
```
CsInSb3
1.0
5.814 0.000 0.000
0.000 5.814 0.000
0.000 0.000 5.814
Cs In Sb
1 1 3
Cartesian
0.000 0.000 0.000
2.907 2.907 2.907
0.000 2.907 2.907
2.907 0.000 2.907
2.907 2.907 0.000
```

## Properties
Energy relative to the elements, uncorrected: 0.2739 eV/atom
Total energy: -2.918 eV/atom
Energy above the most stable polymorph in this dataset: 0.434 eV per atom



No. 25
A relaxed structure of ScCd2Pb2, computed with PBE.

Cell and atoms, written as POSCAR:
```
ScCd2Pb2
1.0
-2.267 2.267 6.956
2.267 -2.267 6.956
2.267 2.267 -6.956
Sc Cd Pb
1 2 2
Cartesian
0.000 0.000 0.000
0.000 0.000 5.627
0.000 0.000 8.285
2.267 0.000 3.478
0.000 2.267 3.478
```

## Properties
Formation energy from the elements: 198 meV per atom
Total energy: -2.918 eV/atom
Energy above the most stable polymorph in this dataset: 0.164 eV per atom